No. 1
The following is a GGA-PBE calculation of a geometry-optimized Tl4GeS4 structure, from Alexandria.

Summary:
* raw formation energy: -40 kJ/mol of atoms
* space group: Cc
* total moment: 0.00 Bohr magnetons per cell

abc: 8.7265 8.7265 7.7759
angles: 72.80 72.80 83.45
Atoms (fractional coordinates):
Tl 0.2054 0.2014 0.9180
Tl 0.0350 0.5864 0.9427
Tl 0.2014 0.2054 0.4180
S 0.3915 0.9518 0.1430
S 0.5602 0.2836 0.6534
S 0.7626 0.6213 0.2756
Tl 0.6351 0.4175 0.9864
Ge 0.7987 0.3764 0.4630
S 0.2046 0.9119 0.7938
S 0.9518 0.3915 0.6430
S 0.2836 0.5602 0.1534
S 0.9119 0.2046 0.2938
Tl 0.0093 0.7356 0.4109
Tl 0.7356 0.0093 0.9109
Ge 0.3764 0.7987 0.9630
S 0.6213 0.7626 0.7756
Tl 0.4175 0.6351 0.4864
Tl 0.5864 0.0350 0.4427



No. 2
The following is a GGA-PBE calculation of a geometry-optimized Y3AlIn2 structure, from Alexandria.

Summary:
* DFT formation energy: -0.4663 eV per atom
* space group: P4/mmm
* total moment: 0.00 Bohr magnetons per cell
* ΔE to the lowest computed polymorph: 0 meV/atom

abc: 3.6743 3.6743 11.3957
angles: 90.00 90.00 90.00
Atoms (fractional coordinates):
Y 0.0000 0.0000 0.0000
Y 0.0000 0.0000 0.3436
Al 0.5000 0.5000 0.5000
Y 0.0000 0.0000 0.6564
In 0.5000 0.5000 0.1716
In 0.5000 0.5000 0.8284



No. 3
The following is a GGA-PBE calculation of a geometry-optimized Ti7InGa2 structure, from Alexandria.

Summary:
* DFT formation energy: 0.3768 eV per atom
* space group: Cmmm
* total moment: 0.00 Bohr magnetons per cell

abc: 4.6750 7.2906 7.2907
angles: 121.35 90.00 90.00
Atoms (fractional coordinates):
Ti 0.5000 0.9404 0.7062
Ti 0.0000 0.2296 0.7704
Ti 0.5000 0.2938 0.0596
In 0.0000 0.0000 0.0000
Ti 0.5000 0.5000 0.5000
Ti 0.0000 0.7704 0.2296
Ga 0.5000 0.7011 0.2989
Ti 0.5000 0.7062 0.9404
Ga 0.5000 0.2989 0.7011
Ti 0.5000 0.0596 0.2938



No. 4
The following is a GGA-PBE calculation of a geometry-optimized NaHg3Ge structure, from Alexandria.

Summary:
* DFT formation energy: 0.0832 eV per atom
* space group: Pm-3m
* total moment: 0.00 Bohr magnetons per cell
* ΔE to the lowest computed polymorph: 0 meV/atom

abc: 5.4553 5.4553 5.4553
angles: 90.00 90.00 90.00
Atoms (fractional coordinates):
Na 0.5000 0.5000 0.5000
Hg 0.0000 0.5000 0.0000
Hg 0.0000 0.0000 0.5000
Hg 0.5000 0.0000 0.0000
Ge 0.0000 0.0000 0.0000



No. 5
The following is a GGA-PBE calculation of a geometry-optimized NbReGe2 structure, from Alexandria.

Summary:
* DFT formation energy: 0.3407 eV per atom
* space group: R-3m
* total moment: 0.00 Bohr magnetons per cell
* ΔE to the lowest computed polymorph: 242 meV/atom

abc: 2.8700 2.8700 9.7892
angles: 81.57 81.57 60.00
Atoms (fractional coordinates):
Ge 0.0890 0.0890 0.7330
Nb 0.5000 0.5000 0.5000
Re 0.0000 0.0000 0.0000
Ge 0.9110 0.9110 0.2670



No. 6
The following is a GGA-PBE calculation of a geometry-optimized Ba2ReBr structure, from Alexandria.

Summary:
* raw formation energy: 8 kJ/mol of atoms
* space group: P4/mmm
* total moment: 1.58 Bohr magnetons per cell
* ΔE to the lowest computed polymorph: 0 meV/atom

abc: 3.7702 3.7729 8.9539
angles: 90.00 90.00 90.00
Atoms (fractional coordinates):
Re 0.5000 0.5000 0.7500
Ba 0.0000 0.0000 0.5204
Br 0.5000 0.5000 0.2500
Ba 0.0000 0.0000 0.9796



No. 7
The following is a GGA-PBE calculation of a geometry-optimized CeTiGa structure, from Alexandria.

Summary:
* DFT formation energy: -0.2687 eV per atom
* space group: I4/mmm
* total moment: 0.00 Bohr magnetons per cell
* ΔE to the lowest computed polymorph: 0 meV/atom

abc: 3.2207 3.2207 11.8964
angles: 97.78 97.78 90.00
Atoms (fractional coordinates):
Ga 0.1502 0.1502 0.3004
Ce 0.4415 0.4415 0.8830
Ti 0.2848 0.2848 0.5696
Ga 0.8498 0.8498 0.6996
Ce 0.5585 0.5585 0.1170
Ti 0.7152 0.7152 0.4304



No. 8
The following is a GGA-PBE calculation of a geometry-optimized Cr3ReSe structure, from Alexandria.

Summary:
* raw formation energy: 124 kJ/mol of atoms
* space group: Pm-3m
* total moment: 9.39 Bohr magnetons per cell
* ΔE to the lowest computed polymorph: 0 meV/atom

abc: 4.7287 4.7287 4.7287
angles: 90.00 90.00 90.00
Atoms (fractional coordinates):
Se 0.5000 0.5000 0.5000
Cr 0.5000 0.0000 0.0000
Re 0.0000 0.0000 0.0000
Cr 0.0000 0.0000 0.5000
Cr 0.0000 0.5000 0.0000



No. 9
The following is a GGA-PBE calculation of a geometry-optimized ZrSc2Si structure, from Alexandria.

Summary:
* raw formation energy: -25 kJ/mol of atoms
* space group: P4mm
* total moment: 0.00 Bohr magnetons per cell

abc: 3.1086 3.1086 8.6929
angles: 90.00 90.00 90.06
Atoms (fractional coordinates):
Si 0.0000 0.0000 0.5007
Zr 0.5000 0.5000 0.7133
Sc 0.0000 0.0000 0.9902
Sc 0.5000 0.5000 0.2958



No. 10
The following is a GGA-PBE calculation of a geometry-optimized Ta2BePt structure, from Alexandria.

Summary:
* DFT formation energy: -0.2613 eV per atom
* space group: P2/m
* total moment: 0.00 Bohr magnetons per cell

abc: 3.9005 2.8063 6.3418
angles: 62.36 90.00 90.00
Atoms (fractional coordinates):
Ta 0.0000 0.5248 0.4889
Be 0.5000 0.2500 0.2500
Pt 0.5000 0.7500 0.7500
Ta 0.0000 0.9752 0.0111



No. 11
The following is a GGA-PBE calculation of a geometry-optimized AlCuSi2I structure, from Alexandria.

Summary:
* raw formation energy: 55 kJ/mol of atoms
* space group: P4/mmm
* total moment: 0.00 Bohr magnetons per cell

abc: 4.6322 4.9346 4.6322
angles: 90.00 90.00 90.00
Atoms (fractional coordinates):
Al 0.0000 0.5000 0.0000
Si 0.0000 0.0000 0.5000
I 0.5000 0.5000 0.5000
Si 0.5000 0.0000 0.0000
Cu 0.0000 0.0000 0.0000



No. 12
The following is a GGA-PBE calculation of a geometry-optimized Nb2AlAu2 structure, from Alexandria.

Summary:
* DFT formation energy: 0.3413 eV per atom
* space group: I4/mmm
* total moment: 0.00 Bohr magnetons per cell
* ΔE to the lowest computed polymorph: 574 meV/atom

abc: 3.7981 3.7981 7.3811
angles: 75.09 75.09 90.00
Atoms (fractional coordinates):
Au 0.7500 0.2500 0.5000
Nb 0.4113 0.4113 0.1774
Al 0.0000 0.0000 0.0000
Nb 0.5887 0.5887 0.8226
Au 0.2500 0.7500 0.5000